# 1
Compound: Tm12Sn6H
Source: the Alexandria database
Functional: PBE
Structure: relaxed

Properties
VASP energy	-4.71	eV per atom

a b c (Å): 8.088 8.088 8.088
angles (deg): 91.96 91.96 91.96
Fractional positions:
Tm 0.045 0.702 0.919
Tm 0.081 0.955 0.298
Tm 0.202 0.543 0.418
Tm 0.298 0.081 0.955
Tm 0.418 0.202 0.543
Tm 0.457 0.582 0.798
Tm 0.543 0.418 0.202
Tm 0.582 0.798 0.457
Tm 0.702 0.919 0.045
Tm 0.798 0.457 0.582
Tm 0.919 0.045 0.702
Tm 0.955 0.298 0.081
Sn 0.134 0.367 0.749
Sn 0.251 0.866 0.633
Sn 0.367 0.749 0.134
Sn 0.633 0.251 0.866
Sn 0.749 0.134 0.367
Sn 0.866 0.633 0.251
H 0.500 0.500 0.500


# 2
Compound: MgTaOs
Source: the Alexandria database
Functional: PBE
Structure: relaxed

Properties
VASP energy	-8.11	eV per atom
energy relative to the elements	0.116	eV per atom
energy relative to the lowest polymorph listed for this composition	2.47	kcal/mol of atoms

a b c (Å): 6.527 6.247 4.550
angles (deg): 72.47 65.87 41.66
Fractional positions:
Mg 0.182 0.818 0.182
Mg 0.818 0.182 0.818
Ta 0.250 0.250 0.250
Ta 0.750 0.750 0.750
Os 0.374 0.374 0.626
Os 0.626 0.626 0.374


# 3
Compound: BeVRu
Source: the Alexandria database
Functional: PBE
Structure: relaxed

Properties
VASP energy	-6.59	eV per atom
energy relative to the elements	0.785	eV per atom
energy relative to the lowest polymorph listed for this composition	21.82	kcal/mol of atoms

a b c (Å): 7.014 7.014 7.014
angles (deg): 159.57 159.57 29.05
Fractional positions:
Be 0.000 0.000 0.000
V 0.175 0.175 0.000
Ru 0.835 0.835 0.000


# 4
Compound: AlNiPb
Source: the Alexandria database
Functional: PBE
Structure: relaxed

Properties
VASP energy	-4.29	eV per atom
energy relative to the elements	0.118	eV per atom
energy relative to the lowest polymorph listed for this composition	3.74	kcal/mol of atoms

a b c (Å): 4.160 4.160 3.888
angles (deg): 90.00 90.00 120.00
Fractional positions:
Al 0.000 0.000 0.000
Ni 0.333 0.667 0.004
Pb 0.667 0.333 0.500